# NpZn9Ag2

NpZn9Ag2 after structural relaxation (PBE, Alexandria via LeMat-Bulk).

Lattice parameters (Å, degrees): 5.2191 5.2191 25.3658 90.00 90.00 120.00
Closest atoms and distances in Å follow each position.
Space group R-3m (No. 166, hexagonal axes)
Unique sites:
Np 0.0000 0.0000 0.0000 [3 per cell]  6 Zn 3.01
Zn 0.0000 0.0000 0.3333 [6 per cell]  6 Zn 2.65-2.67
Zn 0.0000 0.0000 0.5000 [3 per cell]  6 Zn 2.54
Zn 0.0049 0.5025 0.9135 [18 per cell]  7 Zn 2.54-2.67
Ag 0.0000 0.0000 0.1353 [6 per cell]  12 Zn 2.89-3.20

The mass density is 8670 kg/m3. For the density of states at the Fermi level, the calculation gives 11.49 states/eV/f.u. The value obtained for the energy above the most stable polymorph in this dataset is 0.013 eV/atom. The total moment comes out at 0.378 μB per atom. The formation energy comes out at 0.154 eV/f.u.


# Zr2NpAg

Zr2NpAg after structural relaxation (PBE, Alexandria via LeMat-Bulk).

Lattice parameters (Å, degrees): 3.1732 3.1732 8.6876 90.00 90.00 90.00
Closest atoms and distances in Å follow each position.
Space group P4/mmm (No. 123)
Unique sites:
Zr 0.0000 0.0000 0.2358 [2 per cell]  4 Ag 3.04, 4 Zr 3.17, 4 Np 3.21
Np 0.5000 0.5000 0.5000 [1 per cell]  4 Np 3.17, 8 Zr 3.21
Ag 0.5000 0.5000 0.0000 [1 per cell]  8 Zr 3.04, 4 Ag 3.17

The mass density is 10010 kg/m3. For the density of states at the Fermi level, the calculation gives 7.47 states/eV/f.u. The value obtained for the energy above the most stable polymorph in this dataset is 0.000 eV/atom. The total moment comes out at 0.910 μB per atom. The formation energy comes out at 0.694 eV/f.u.


Look up the mass density of the first one.
8670 kg/m3


Copy entry 2 word for word.
# Zr2NpAg

Zr2NpAg after structural relaxation (PBE, Alexandria via LeMat-Bulk).

Lattice parameters (Å, degrees): 3.1732 3.1732 8.6876 90.00 90.00 90.00
Closest atoms and distances in Å follow each position.
Space group P4/mmm (No. 123)
Unique sites:
Zr 0.0000 0.0000 0.2358 [2 per cell]  4 Ag 3.04, 4 Zr 3.17, 4 Np 3.21
Np 0.5000 0.5000 0.5000 [1 per cell]  4 Np 3.17, 8 Zr 3.21
Ag 0.5000 0.5000 0.0000 [1 per cell]  8 Zr 3.04, 4 Ag 3.17

The mass density is 10010 kg/m3. For the density of states at the Fermi level, the calculation gives 7.47 states/eV/f.u. The value obtained for the energy above the most stable polymorph in this dataset is 0.000 eV/atom. The total moment comes out at 0.910 μB per atom. The formation energy comes out at 0.694 eV/f.u.


Look up the mass density of the first one.
8670 kg/m3


The lowest mass density belongs to which entry?
NpZn9Ag2